# 1
The following is a GGA-PBE calculation of PaCuSb after structural relaxation, from the Alexandria database.

Summary:
ΔE_f (raw) = -0.014 eV per atom
crystal system = tetragonal
E = -0.2175 Ha/atom

Cell: 3.6747 3.6747 5.5563 Å, 109.31 109.31 90.00°
Last column: nearest neighbours and their distance in Å.
Element x y z (fractional)
Sb1 0.2949 0.2949 0.5898  4 Cu 2.98, 5 Pa 3.11-3.16
Pa1 0.6113 0.6113 0.2226  5 Cu 3.08-3.27, 5 Sb 3.11-3.16
Cu1 0.9438 0.9438 0.8876  4 Sb 2.98, 5 Pa 3.08-3.27



# 2
The following is a GGA-PBE calculation of PaCuSb after structural relaxation, from the Alexandria database.

Summary:
ΔE_f (raw) = -0.181 eV per atom
crystal system = monoclinic
E = -0.2236 Ha/atom

Cell: 4.1580 5.1618 7.2256 Å, 104.80 90.00 113.75°
Last column: nearest neighbours and their distance in Å.
Element x y z (fractional)
Pa1 0.5000 0.0000 0.5000  6 Cu 2.85-3.01
Pa2 0.0000 0.0000 0.0000  2 Cu 2.85, 2 Sb 3.18
Cu1 0.1686 0.3372 0.3950  3 Sb 2.67-2.69, 2 Cu 2.77, 3 Pa 2.85
Cu2 0.8314 0.6628 0.6050  3 Sb 2.67-2.69, 2 Cu 2.77, 3 Pa 2.85
Sb1 0.7505 0.5011 0.2174  3 Cu 2.67-2.69
Sb2 0.2495 0.4989 0.7826  3 Cu 2.67-2.69



# 3
The following is a GGA-PBE calculation of PaCu2Sb after structural relaxation, from the Alexandria database.

Summary:
ΔE_f (raw) = -0.017 eV per atom
excess energy over the best structure of this formula in the dataset = 72 meV/atom
crystal system = tetragonal
E = -0.2010 Ha/atom

Cell: 4.1953 4.3392 4.3392 Å, 90.00 90.00 90.00°
Last column: nearest neighbours and their distance in Å.
Element x y z (fractional)
Sb1 0.5000 0.0000 0.0000  8 Cu 3.02, 4 Pa 3.07
Pa1 0.5000 0.5000 0.5000  8 Cu 3.02, 4 Sb 3.07
Cu1 0.0000 0.0000 0.5000  4 Sb 3.02, 4 Pa 3.02, 4 Cu 3.07
Cu2 0.0000 0.5000 0.0000  4 Pa 3.02, 4 Sb 3.02, 4 Cu 3.07



# 4
The following is a GGA-PBE calculation of PaCuSb after structural relaxation, from the Alexandria database.

Summary:
ΔE_f (raw) = -0.265 eV per atom
crystal system = trigonal
E = -0.2267 Ha/atom

Cell: 4.1468 4.3307 4.3307 Å, 120.00 90.00 90.00°
Last column: nearest neighbours and their distance in Å.
Element x y z (fractional)
Sb1 0.1072 0.0000 0.0000  3 Cu 2.59
Pa1 0.6239 0.6667 0.3333  3 Cu 2.90, 3 Sb 3.20
Cu1 0.2689 0.3333 0.6667  3 Sb 2.59



# 5
The following is a GGA-PBE calculation of PaCu2Sb after structural relaxation, from the Alexandria database.

Summary:
ΔE_f (raw) = -0.089 eV per atom
excess energy over the best structure of this formula in the dataset = 0 meV/atom
crystal system = cubic
E = -0.2037 Ha/atom

Cell: 4.7327 4.7327 4.7327 Å, 60.00 60.00 60.00°
Last column: nearest neighbours and their distance in Å.
Element x y z (fractional)
Sb1 0.5000 0.5000 0.5000  8 Cu 2.90
Pa1 0.0000 0.0000 0.0000  8 Cu 2.90
Cu1 0.2500 0.2500 0.2500  4 Sb 2.90, 4 Pa 2.90
Cu2 0.7500 0.7500 0.7500  4 Pa 2.90, 4 Sb 2.90



# 6
The following is a GGA-PBE calculation of Pa3Cu3Sb4 after structural relaxation, from the Alexandria database.

Summary:
ΔE_f (raw) = -0.327 eV per atom
crystal system = cubic
E = -0.2225 Ha/atom

Cell: 8.2850 8.2850 8.2850 Å, 109.47 109.47 109.47°
Last column: nearest neighbours and their distance in Å.
Element x y z (fractional)
Pa1 0.6250 0.7500 0.8750  4 Cu 2.93
Pa2 0.8750 0.2500 0.6250  4 Cu 2.93
Pa3 0.1250 0.3750 0.2500  4 Cu 2.93
Pa4 0.3750 0.1250 0.7500  4 Cu 2.93
Pa5 0.2500 0.8750 0.1250  4 Cu 2.93
Pa6 0.7500 0.6250 0.3750  4 Cu 2.93
Cu1 0.1250 0.7500 0.3750  4 Sb 2.68, 4 Pa 2.93
Cu2 0.3750 0.2500 0.1250  4 Sb 2.68, 4 Pa 2.93
Cu3 0.6250 0.8750 0.2500  4 Sb 2.68, 4 Pa 2.93
Cu4 0.8750 0.6250 0.7500  4 Sb 2.68, 4 Pa 2.93
Cu5 0.2500 0.3750 0.6250  4 Sb 2.68, 4 Pa 2.93
Cu6 0.7500 0.1250 0.8750  4 Sb 2.68, 4 Pa 2.93
Sb1 0.0000 0.0000 0.3293  3 Cu 2.68
Sb2 0.5000 0.3293 0.5000  3 Cu 2.68
Sb3 0.6707 0.1707 0.1707  3 Cu 2.68
Sb4 0.0000 0.0000 0.8293  3 Cu 2.68
Sb5 0.8293 0.5000 0.0000  3 Cu 2.68
Sb6 0.5000 0.8293 0.5000  3 Cu 2.68
Sb7 0.3293 0.5000 0.0000  3 Cu 2.68
Sb8 0.1707 0.6707 0.6707  3 Cu 2.68



# 7
The following is a GGA-PBE calculation of Pa4Cu3Sb8 after structural relaxation, from the Alexandria database.

Summary:
ΔE_f (raw) = -0.408 eV per atom
crystal system = tetragonal
E = -0.2190 Ha/atom

Cell: 4.3966 4.3966 18.4386 Å, 90.00 90.00 90.00°
Last column: nearest neighbours and their distance in Å.
Element x y z (fractional)
Pa1 0.5000 0.0000 0.3767  4 Cu 3.16, 8 Sb 3.19-3.25
Pa2 0.5000 0.0000 0.8831  2 Cu 3.08, 8 Sb 3.20-3.25
Pa3 0.0000 0.5000 0.1169  2 Cu 3.08, 8 Sb 3.20-3.25
Pa4 0.0000 0.5000 0.6233  4 Cu 3.16, 8 Sb 3.19-3.25
Cu1 0.5000 0.5000 0.5000  4 Sb 2.71
Cu2 0.0000 0.0000 0.0000  4 Sb 2.62
Cu3 0.0000 0.0000 0.5000  4 Sb 2.71
Sb1 0.5000 0.0000 0.0768  2 Cu 2.62
Sb2 0.5000 0.0000 0.5857  4 Cu 2.71
Sb3 0.0000 0.5000 0.4143  4 Cu 2.71
Sb4 0.0000 0.5000 0.9232  2 Cu 2.62
Sb5 0.5000 0.5000 0.2465  4 Sb 3.11, 4 Pa 3.25
Sb6 0.5000 0.5000 0.7535  4 Sb 3.11, 4 Pa 3.25
Sb7 0.0000 0.0000 0.2466  4 Sb 3.11, 4 Pa 3.25
Sb8 0.0000 0.0000 0.7534  4 Sb 3.11, 4 Pa 3.25



# 8
The following is a GGA-PBE calculation of PaCuSb after structural relaxation, from the Alexandria database.

Summary:
ΔE_f (raw) = 0.041 eV per atom
crystal system = trigonal
E = -0.2155 Ha/atom

Cell: 3.9971 3.9971 9.9202 Å, 78.38 78.38 60.00°
Last column: nearest neighbours and their distance in Å.
Element x y z (fractional)
Sb1 0.5998 0.5998 0.2005  4 Cu 2.62
Sb2 0.4002 0.4002 0.7995  4 Cu 2.62
Cu1 0.3096 0.3096 0.0713  4 Sb 2.62, 3 Cu 2.69
Cu2 0.6904 0.6904 0.9287  4 Sb 2.62, 3 Cu 2.69
Pa1 0.8619 0.8619 0.4144  3 Pa 2.84, 3 Sb 3.10
Pa2 0.1381 0.1381 0.5856  3 Pa 2.84, 3 Sb 3.10